No. 1
This record from OQMD describes a relaxed Y2HoTl2Cd4 crystal. The functional is GGA-PBE.

Symmetry = Amm2 (38)
E_tot = -28.9 eV/f.u.

Geometry as POSCAR:
```
Y2HoTl2Cd4
1.0
4.5605 0.0000 0.0000
0.0000 6.5346 3.7806
0.0000 -6.5346 3.7806
Cd Ho Tl Y
4 1 2 2
Direct
0.5000 0.7600 0.0000 Cd
0.5000 0.2400 0.2400 Cd
0.5000 0.0000 0.7600 Cd
0.0000 0.9990 0.9990 Cd
0.0000 0.5735 0.5735 Ho
0.5000 0.6664 0.3342 Tl
0.5000 0.3342 0.6664 Tl
0.0000 0.4268 0.0002 Y
0.0000 0.0002 0.4268 Y
```


No. 2
This record from OQMD describes a relaxed YHo2Tl2Cd4 crystal. The functional is GGA-PBE.

Symmetry = Amm2 (38)
E_tot = -26.9 eV/f.u.

Geometry as POSCAR:
```
YHo2Tl2Cd4
1.0
4.5537 0.0000 0.0000
0.0000 6.5419 3.7690
0.0000 -6.5419 3.7690
Cd Ho Tl Y
4 2 2 1
Direct
0.5000 0.7599 0.0000 Cd
0.0000 0.0010 0.0010 Cd
0.5000 0.2401 0.2401 Cd
0.5000 0.0000 0.7599 Cd
0.0000 0.9998 0.4266 Ho
0.0000 0.4266 0.9998 Ho
0.5000 0.6669 0.3325 Tl
0.5000 0.3325 0.6669 Tl
0.0000 0.5731 0.5731 Y
```


No. 3
This record from OQMD describes a relaxed Y2HoTl2Zn3Cd crystal. The functional is GGA-PBE.

Symmetry = Amm2 (38)
E_tot = -29.8 eV/f.u.

Geometry as POSCAR:
```
Y2HoTl2Zn3Cd
1.0
4.5352 0.0000 0.0000
0.0000 6.2606 3.6273
0.0000 -6.2606 3.6273
Cd Ho Tl Y Zn
1 1 2 2 3
Direct
0.0000 0.9982 0.9982 Cd
0.0000 0.5707 0.5707 Ho
0.5000 0.6665 0.3345 Tl
0.5000 0.3345 0.6665 Tl
0.0000 0.4299 0.0006 Y
0.0000 0.0006 0.4299 Y
0.5000 0.7695 0.0000 Zn
0.5000 0.2301 0.2301 Zn
0.5000 0.0000 0.7695 Zn
```


No. 4
This record from OQMD describes a relaxed HoTmCd6 crystal. The functional is GGA-PBE.

ΔE_f = -0.254 eV per atom
Symmetry = Pmm2 (25)
E_tot = -16.5 eV/f.u.
Polymorph energy (0 for the lowest one) = 18 meV/atom

Geometry as POSCAR:
```
HoTmCd6
1.0
-0.9485 1.5150 4.7132
-5.3310 -4.6729 0.4292
3.1933 -3.4811 1.7616
Cd Ho Tm
6 1 1
Direct
0.5000 0.2508 0.2450 Cd
0.5000 0.7492 0.2450 Cd
0.0000 0.5000 0.2542 Cd
0.5000 0.0000 0.7459 Cd
0.0000 0.2507 0.7550 Cd
0.0000 0.7493 0.7550 Cd
0.0000 0.0000 0.2545 Ho
0.5000 0.5000 0.7454 Tm
```


Question: Which of these has the highest E_tot?
Answer: HoTmCd6